# CsHoW2O8

A relaxed CsHoW2O8 crystal (PBE with a Hubbard U, the Alexandria database).

```
data_CsHoW2O8
_chemical_formula_sum 'Cs3 Ho3 W6 O24'
_symmetry_space_group_name_H-M 'R -3'
_symmetry_Int_Tables_number 148
_symmetry_space_group_name_Hall '-R 3'
_cell_length_a 5.8281
_cell_length_b 5.8281
_cell_length_c 26.7496
_cell_angle_alpha 90.00
_cell_angle_beta 90.00
_cell_angle_gamma 120.00
loop_
_atom_site_label
_atom_site_fract_x
_atom_site_fract_y
_atom_site_fract_z
Cs1 0.0000 0.0000 0.0000
Ho1 0.0000 0.0000 0.5000
W1 0.0000 0.0000 0.2368
O1 0.0000 0.0000 0.3035
O2 0.0100 0.6060 0.8822
```

Values from the calculation:
total moment = 0.00 μB per formula unit
uncorrected energy = -7.332 eV per atom